{
  "formula": "Ca3ReBr",
  "functional": "GGA-PBE",
  "state": "optimized geometry",
  "n_ef_per_ev_fu": 3.27,
  "raw_formation_energy_mev_per_atom": 311,
  "crystal_system": "cubic",
  "m_tot_mub_per_atom": 0.02,
  "lattice_angstrom": [[5.510, 0.000, 0.000], [0.000, 5.510, 0.000], [0.000, 0.000, 5.510]],
  "species": ["Re", "Ca", "Br", "Ca", "Ca"],
  "fractional_positions": [[0.000, 0.000, 0.000], [0.000, 0.500, 0.000], [0.500, 0.500, 0.500], [0.000, 0.000, 0.500], [0.500, 0.000, 0.000]]
}



{
  "formula": "La2HoPaSb4",
  "functional": "GGA-PBE",
  "state": "optimized geometry",
  "n_ef_per_ev_fu": 6.77,
  "raw_formation_energy_mev_per_atom": -1025,
  "crystal_system": "monoclinic",
  "m_tot_mub_per_atom": 0.10,
  "lattice_angstrom": [[-3.517, 0.018, 2.786], [1.920, -7.088, 2.469], [3.557, 5.345, 4.457]],
  "species": ["Ho", "Sb", "La", "La", "Sb", "Sb", "Pa", "Sb"],
  "fractional_positions": [[0.000, 0.000, 0.000], [0.000, 0.745, 0.234], [0.000, 0.500, 0.500], [0.500, 0.000, 0.500], [0.500, 0.754, 0.766], [0.000, 0.255, 0.766], [0.500, 0.500, 0.000], [0.500, 0.246, 0.234]]
}



{
  "formula": "TiAg3Cl2F6",
  "functional": "GGA-PBE",
  "state": "optimized geometry",
  "n_ef_per_ev_fu": 8.77,
  "raw_formation_energy_mev_per_atom": -1857,
  "crystal_system": "monoclinic",
  "m_tot_mub_per_atom": 0.00,
  "lattice_angstrom": [[-4.122, -0.282, -2.740], [-1.996, -5.246, 3.542], [-2.019, 6.556, 2.354]],
  "species": ["Ag", "F", "Cl", "Ag", "Cl", "F", "F", "F", "Ag", "F", "Ti", "F"],
  "fractional_positions": [[0.500, 0.500, 0.500], [0.291, 0.123, 0.246], [0.176, 0.682, 0.365], [0.500, 0.000, 0.500], [0.824, 0.318, 0.635], [0.715, 0.854, 0.121], [0.715, 0.267, 0.121], [0.285, 0.733, 0.879], [0.000, 0.500, 0.000], [0.709, 0.877, 0.754], [0.500, 0.000, 0.000], [0.285, 0.146, 0.879]]
}



{
  "formula": "Pm6Co2NiCl3",
  "functional": "GGA-PBE",
  "state": "optimized geometry",
  "n_ef_per_ev_fu": 6.27,
  "raw_formation_energy_mev_per_atom": -869,
  "crystal_system": "monoclinic",
  "m_tot_mub_per_atom": 0.00,
  "lattice_angstrom": [[-0.975, -3.812, -0.458], [3.034, -1.742, 8.034], [-8.628, 4.212, 0.452]],
  "species": ["Pm", "Cl", "Cl", "Co", "Cl", "Pm", "Pm", "Pm", "Co", "Pm", "Pm", "Ni"],
  "fractional_positions": [[0.679, 0.554, 0.358], [0.167, 0.833, 0.334], [0.500, 0.500, 0.000], [0.835, 0.671, 0.669], [0.833, 0.167, 0.666], [0.988, 0.773, 0.975], [0.321, 0.446, 0.642], [0.341, 0.887, 0.683], [0.165, 0.329, 0.331], [0.012, 0.227, 0.025], [0.659, 0.113, 0.317], [0.500, 0.000, 0.000]]
}



{
  "formula": "TbTmSN",
  "functional": "GGA-PBE",
  "state": "optimized geometry",
  "n_ef_per_ev_fu": 1.10,
  "raw_formation_energy_mev_per_atom": -1868,
  "crystal_system": "trigonal",
  "m_tot_mub_per_atom": 0.00,
  "lattice_angstrom": [[-0.017, 1.744, -3.145], [-0.566, -1.809, -3.056], [-6.336, 0.942, -1.500]],
  "species": ["N", "Tb", "S", "Tm"],
  "fractional_positions": [[0.253, 0.253, 0.240], [0.513, 0.513, 0.460], [0.748, 0.748, 0.757], [0.986, 0.986, 0.043]]
}



{
  "formula": "BaSb2",
  "functional": "GGA-PBE",
  "state": "optimized geometry",
  "n_ef_per_ev_fu": 5.00,
  "raw_formation_energy_mev_per_atom": -247,
  "crystal_system": "cubic",
  "m_tot_mub_per_atom": 0.00,
  "lattice_angstrom": [[-6.017, -0.668, 5.632], [-5.446, -1.611, -6.009], [1.583, -8.083, 0.733]],
  "species": ["Sb", "Sb", "Sb", "Ba", "Sb", "Sb", "Ba", "Sb", "Sb", "Ba", "Ba", "Sb"],
  "fractional_positions": [[0.594, 0.906, 0.906], [0.406, 0.406, 0.594], [0.594, 0.594, 0.406], [0.000, 0.000, 0.000], [0.094, 0.594, 0.094], [0.406, 0.094, 0.094], [0.500, 0.500, 0.000], [0.906, 0.406, 0.906], [0.906, 0.094, 0.406], [0.500, 0.000, 0.500], [0.000, 0.500, 0.500], [0.094, 0.906, 0.594]]
}



{
  "formula": "Be2NiW",
  "functional": "GGA-PBE",
  "state": "optimized geometry",
  "n_ef_per_ev_fu": 2.54,
  "crystal_system": "orthorhombic",
  "m_tot_mub_per_atom": 0.00,
  "formation_energy_ev_per_fu": 0.61,
  "lattice_angstrom": [[4.782, 0.006, 0.003], [2.063, 4.314, -0.003], [-2.762, -3.206, 2.227]],
  "species": ["Be", "Be", "W", "Ni"],
  "fractional_positions": [[0.522, 0.522, 0.000], [0.978, 0.978, 0.000], [0.250, 0.750, 0.500], [0.750, 0.250, 0.500]]
}



{
  "formula": "InNiSbI2",
  "functional": "GGA-PBE",
  "state": "optimized geometry",
  "n_ef_per_ev_fu": 8.13,
  "raw_formation_energy_mev_per_atom": 901,
  "crystal_system": "tetragonal",
  "m_tot_mub_per_atom": 0.51,
  "lattice_angstrom": [[-3.174, -2.436, -4.355], [4.971, -1.089, -3.013], [0.432, -5.187, 2.587]],
  "species": ["Ni", "In", "I", "Sb", "I"],
  "fractional_positions": [[0.500, 0.500, 0.500], [0.000, 0.000, 0.000], [0.500, 0.000, 0.000], [0.000, 0.000, 0.500], [0.000, 0.500, 0.000]]
}



Repeat the second record exactly.
{
  "formula": "La2HoPaSb4",
  "functional": "GGA-PBE",
  "state": "optimized geometry",
  "n_ef_per_ev_fu": 6.77,
  "raw_formation_energy_mev_per_atom": -1025,
  "crystal_system": "monoclinic",
  "m_tot_mub_per_atom": 0.10,
  "lattice_angstrom": [[-3.517, 0.018, 2.786], [1.920, -7.088, 2.469], [3.557, 5.345, 4.457]],
  "species": ["Ho", "Sb", "La", "La", "Sb", "Sb", "Pa", "Sb"],
  "fractional_positions": [[0.000, 0.000, 0.000], [0.000, 0.745, 0.234], [0.000, 0.500, 0.500], [0.500, 0.000, 0.500], [0.500, 0.754, 0.766], [0.000, 0.255, 0.766], [0.500, 0.500, 0.000], [0.500, 0.246, 0.234]]
}



Number 1 is which compound? Ca3ReBr